(1)
The following is a DFT calculation (PBE) of a geometry-optimized PPb2Au2 structure.

Summary:
DOS(E_F) = 0.4507 states/eV/atom
polymorph energy (0 for the lowest one) = 75.6 meV/atom
DFT formation energy = 0.1964 eV/atom
magnetization = 0.00 μB/cell
crystal system = tetragonal

Cell and atoms, written as CIF:
```
data_PPb2Au2
_cell_length_a 5.954
_cell_length_b 5.954
_cell_length_c 7.364
_cell_angle_alpha 90.00
_cell_angle_beta 90.00
_cell_angle_gamma 90.00
_space_group_name_H-M_alt 'P 1'
_space_group_IT_number 1
loop_
_space_group_symop_operation_xyz
'x,y,z'
loop_
_atom_site_label
_atom_site_type_symbol
_atom_site_fract_x
_atom_site_fract_y
_atom_site_fract_z
P1 P 0.000 0.000 0.000
P2 P 0.500 0.500 0.500
Pb1 Pb 0.000 0.500 0.250
Pb2 Pb 0.000 0.500 0.750
Pb3 Pb 0.500 0.000 0.250
Pb4 Pb 0.500 0.000 0.750
Au1 Au 0.000 0.000 0.324
Au2 Au 0.000 0.000 0.676
Au3 Au 0.500 0.500 0.176
Au4 Au 0.500 0.500 0.824
```

=====

(2)
The following is a DFT calculation (PBE) of a geometry-optimized PPbAu structure.

Summary:
DOS(E_F) = 0.2620 states/eV/atom
polymorph energy (0 for the lowest one) = 11.2 meV/atom
DFT formation energy = -0.0169 eV/atom
magnetization = 0.00 μB/cell
crystal system = hexagonal

Cell and atoms, written as CIF:
```
data_PPbAu
_cell_length_a 4.281
_cell_length_b 4.281
_cell_length_c 8.711
_cell_angle_alpha 90.00
_cell_angle_beta 90.00
_cell_angle_gamma 120.00
_space_group_name_H-M_alt 'P 1'
_space_group_IT_number 1
loop_
_space_group_symop_operation_xyz
'x,y,z'
loop_
_atom_site_label
_atom_site_type_symbol
_atom_site_fract_x
_atom_site_fract_y
_atom_site_fract_z
P1 P 0.333 0.667 0.250
P2 P 0.667 0.333 0.750
Pb1 Pb 0.000 0.000 0.000
Pb2 Pb 0.000 0.000 0.500
Au1 Au 0.333 0.667 0.750
Au2 Au 0.667 0.333 0.250
```

=====

(3)
The following is a DFT calculation (PBE) of a geometry-optimized PPb2Au structure.

Summary:
DOS(E_F) = 0.4543 states/eV/atom
DFT formation energy = 0.1153 eV/atom
magnetization = 0.00 μB/cell
crystal system = orthorhombic

Cell and atoms, written as CIF:
```
data_PPb2Au
_cell_length_a 3.939
_cell_length_b 3.962
_cell_length_c 13.423
_cell_angle_alpha 90.00
_cell_angle_beta 90.00
_cell_angle_gamma 90.00
_space_group_name_H-M_alt 'P 1'
_space_group_IT_number 1
loop_
_space_group_symop_operation_xyz
'x,y,z'
loop_
_atom_site_label
_atom_site_type_symbol
_atom_site_fract_x
_atom_site_fract_y
_atom_site_fract_z
P1 P 0.000 0.000 0.000
P2 P 0.500 0.500 0.500
Pb1 Pb 0.000 0.000 0.422
Pb2 Pb 0.000 0.500 0.707
Pb3 Pb 0.500 0.000 0.207
Pb4 Pb 0.500 0.500 0.922
Au1 Au 0.000 0.500 0.119
Au2 Au 0.500 0.000 0.619
```

=====

(4)
The following is a DFT calculation (PBE) of a geometry-optimized P4Pb3Au structure.

Summary:
DOS(E_F) = 0.3777 states/eV/atom
DFT formation energy = 0.2429 eV/atom
magnetization = 0.00 μB/cell
crystal system = orthorhombic

Cell and atoms, written as CIF:
```
data_P4Pb3Au
_cell_length_a 5.472
_cell_length_b 10.168
_cell_length_c 7.611
_cell_angle_alpha 90.00
_cell_angle_beta 90.00
_cell_angle_gamma 90.00
_space_group_name_H-M_alt 'P 1'
_space_group_IT_number 1
loop_
_space_group_symop_operation_xyz
'x,y,z'
loop_
_atom_site_label
_atom_site_type_symbol
_atom_site_fract_x
_atom_site_fract_y
_atom_site_fract_z
P1 P 0.056 0.250 0.023
P2 P 0.250 0.144 0.419
P3 P 0.250 0.356 0.419
P4 P 0.444 0.250 0.023
P5 P 0.556 0.750 0.977
P6 P 0.750 0.644 0.581
P7 P 0.750 0.856 0.581
P8 P 0.944 0.750 0.977
Pb1 Pb 0.250 0.560 0.776
Pb2 Pb 0.250 0.750 0.422
Pb3 Pb 0.250 0.940 0.776
Pb4 Pb 0.750 0.060 0.224
Pb5 Pb 0.750 0.250 0.578
Pb6 Pb 0.750 0.440 0.224
Au1 Au 0.250 0.250 0.726
Au2 Au 0.750 0.750 0.274
```

=====

(5)
The following is a DFT calculation (PBE) of a geometry-optimized PPbAu structure.

Summary:
DOS(E_F) = 0.5331 states/eV/atom
polymorph energy (0 for the lowest one) = 476.0 meV/atom
DFT formation energy = 0.4479 eV/atom
magnetization = 0.00 μB/cell
crystal system = hexagonal

Cell and atoms, written as CIF:
```
data_PPbAu
_cell_length_a 5.064
_cell_length_b 5.064
_cell_length_c 6.068
_cell_angle_alpha 90.00
_cell_angle_beta 90.00
_cell_angle_gamma 120.00
_space_group_name_H-M_alt 'P 1'
_space_group_IT_number 1
loop_
_space_group_symop_operation_xyz
'x,y,z'
loop_
_atom_site_label
_atom_site_type_symbol
_atom_site_fract_x
_atom_site_fract_y
_atom_site_fract_z
P1 P 0.000 0.000 0.000
P2 P 0.000 0.000 0.500
Pb1 Pb 0.333 0.667 0.250
Pb2 Pb 0.667 0.333 0.750
Au1 Au 0.333 0.667 0.750
Au2 Au 0.667 0.333 0.250
```

=====

(6)
The following is a DFT calculation (PBE) of a geometry-optimized P2PbAu structure.

Summary:
DOS(E_F) = 0.5026 states/eV/atom
DFT formation energy = 0.3600 eV/atom
magnetization = 0.00 μB/cell
crystal system = orthorhombic

Cell and atoms, written as CIF:
```
data_P2PbAu
_cell_length_a 3.186
_cell_length_b 6.660
_cell_length_c 9.291
_cell_angle_alpha 90.00
_cell_angle_beta 90.00
_cell_angle_gamma 90.00
_space_group_name_H-M_alt 'P 1'
_space_group_IT_number 1
loop_
_space_group_symop_operation_xyz
'x,y,z'
loop_
_atom_site_label
_atom_site_type_symbol
_atom_site_fract_x
_atom_site_fract_y
_atom_site_fract_z
P1 P 0.000 0.000 0.000
P2 P 0.000 0.500 0.152
P3 P 0.500 0.000 0.152
P4 P 0.500 0.500 0.000
Pb1 Pb 0.000 0.000 0.490
Pb2 Pb 0.500 0.500 0.490
Au1 Au 0.000 0.500 0.753
Au2 Au 0.500 0.000 0.753
```